# Li3CrBPO7 | Alexandria via LeMat-Bulk | PBE with a Hubbard U | relaxed
# ρ, Mg/m³: 2.79
# Crystal system: monoclinic
# Raw total energy, Ha/atom: -0.252
data_Li3CrBPO7
_symmetry_space_group_name_H-M 'P 1 21/m 1'
_symmetry_Int_Tables_number 11
_cell_length_a 5.055
_cell_length_b 6.389
_cell_length_c 8.386
_cell_angle_alpha 90.00
_cell_angle_beta 95.77
_cell_angle_gamma 90.00
loop_
_symmetry_equiv_pos_as_xyz
'x,y,z'
'-x,-y,-z'
'-x,y+1/2,-z'
'x,-y+1/2,z'
loop_
_atom_site_label
_atom_site_type_symbol
_atom_site_fract_x
_atom_site_fract_y
_atom_site_fract_z
Li1 Li 0.234 0.250 0.094
Li2 Li 0.257 0.002 0.762
Cr1 Cr 0.213 0.750 0.323
B1 B 0.299 0.750 0.043
P1 P 0.267 0.250 0.419
O1 O 0.041 0.750 0.092
O2 O 0.136 0.250 0.577
O3 O 0.176 0.063 0.308
O4 O 0.365 0.750 0.891
O5 O 0.427 0.750 0.541
O6 O 0.493 0.750 0.176